Here is a geometry-optimized Cu5Pd2Au structure from Alexandria. Energies are from PBE-GGA.

Cell lengths 5.3002, 5.3002, 5.3002 Å; angles 116.86, 116.86, 95.53 degrees
Positions (direct):
Cu 0.0000 0.0000 0.0000
Cu 0.0016 0.0016 0.5012
Cu 0.0016 0.5003 0.0000
Cu 0.5003 0.0016 0.0000
Cu 0.5003 0.5003 0.4988
Pd 0.0009 0.5009 0.5000
Pd 0.5009 0.0009 0.5000
Au 0.5019 0.5019 0.0000

## Properties
* formation energy: -101 meV per atom
* V: 13.7 Å³ per atom
* ρ: 11.010 g cm⁻³
* E: -4.3693 eV per atom



Here is a geometry-optimized GdPa2Re structure from Alexandria. Energies are from PBE-GGA.

Cell lengths 3.3232, 3.3232, 8.8591 Å; angles 90.00, 90.00, 90.00 degrees
Positions (direct):
Gd 0.0000 0.0000 0.0000
Pa 0.5000 0.5000 0.2963
Pa 0.5000 0.5000 0.7037
Re 0.0000 0.0000 0.5000

## Properties
* relative energy among the computed polymorphs: 0 meV/atom
* formation energy: 131 meV per atom
* V: 24.5 Å³ per atom
* ρ: 13.672 g cm⁻³
* E: -11.2492 eV per atom



Here is a geometry-optimized Na8Hg2Sb structure from Alexandria. Energies are from PBE-GGA.

Cell lengths 9.0214, 9.0214, 8.1315 Å; angles 116.77, 116.77, 33.29 degrees
Positions (direct):
Na 0.0009 0.0009 0.2146
Na 0.1530 0.1530 0.6551
Na 0.3464 0.3464 0.6200
Na 0.3474 0.3474 0.0721
Na 0.6526 0.6526 0.9279
Na 0.6536 0.6536 0.3800
Na 0.8470 0.8470 0.3449
Na 0.9991 0.9991 0.7854
Hg 0.1877 0.1877 0.1871
Hg 0.8123 0.8123 0.8129
Sb 0.5000 0.5000 0.5000

## Properties
* formation energy from raw total energies: -0.216 eV per atom
* V: 29.1 Å³ per atom
* ρ: 3.661 g cm⁻³
* E: -1.6045 eV per atom



Here is a geometry-optimized CaMnIr structure from Alexandria. Energies are from PBE-GGA.

Cell lengths 5.0764, 4.5030, 5.6297 Å; angles 90.00, 106.57, 90.00 degrees
Positions (direct):
Ca 0.2243 0.2500 0.4370
Ca 0.7757 0.7500 0.5630
Mn 0.3606 0.7500 0.9858
Mn 0.6394 0.2500 0.0142
Ir 0.1156 0.2500 0.9210
Ir 0.8844 0.7500 0.0790

## Properties
* relative energy among the computed polymorphs: 79 meV/atom
* formation energy: -125 meV per atom
* V: 20.6 Å³ per atom
* ρ: 7.734 g cm⁻³
* E: -6.8027 eV per atom



Here is a geometry-optimized Tb2In5Hg structure from Alexandria. Energies are from PBE-GGA.

Cell lengths 6.5084, 13.0373, 4.6751 Å; angles 90.00, 90.00, 90.00 degrees
Positions (direct):
Tb 0.2482 0.1260 0.0000
Tb 0.2518 0.6260 0.0000
Tb 0.7482 0.3740 0.0000
Tb 0.7518 0.8740 0.0000
In 0.0000 0.0000 0.5000
In 0.0009 0.7488 0.5000
In 0.2474 0.3765 0.0000
In 0.2526 0.8765 0.0000
In 0.4991 0.2488 0.5000
In 0.5000 0.5000 0.5000
In 0.5009 0.7512 0.5000
In 0.7474 0.1235 0.0000
In 0.7526 0.6235 0.0000
In 0.9991 0.2512 0.5000
Hg 0.0000 0.5000 0.5000
Hg 0.5000 0.0000 0.5000

## Properties
* formation energy: -414 meV per atom
* V: 24.8 Å³ per atom
* ρ: 9.147 g cm⁻³
* E: -3.3209 eV per atom



Here is a geometry-optimized Zn6Rh5Au structure from Alexandria. Energies are from PBE-GGA.

Cell lengths 7.4483, 7.4483, 7.4483 Å; angles 146.58, 131.34, 60.31 degrees
Positions (direct):
Zn 0.0717 0.3289 0.7428
Zn 0.2361 0.0000 0.2361
Zn 0.4139 0.6711 0.7428
Zn 0.5861 0.3289 0.2572
Zn 0.7639 0.0000 0.7639
Zn 0.9283 0.6711 0.2572
Rh 0.0000 0.5000 0.5000
Rh 0.1682 0.1682 0.0000
Rh 0.3391 0.8391 0.5000
Rh 0.6609 0.1609 0.5000
Rh 0.8318 0.8318 0.0000
Au 0.5000 0.5000 0.0000

## Properties
* formation energy: -391 meV per atom
* V: 14.1 Å³ per atom
* ρ: 10.829 g cm⁻³
* E: -4.3645 eV per atom